PBE DyGaNO, relaxed; E_tot = -52.91 eV/cell; relative energy among the computed polymorphs = 107 meV per atom; size of the total moment = 0.00 μB per formula unit
1.0
4.742 0.000 0.000
0.000 4.742 0.000
0.000 0.000 4.688
O Ga N Dy
2 2 2 2
Direct
0.500 0.500 0.000
0.000 0.000 0.000
0.000 0.500 0.988
0.500 0.000 0.012
0.500 0.000 0.438
0.000 0.500 0.562
0.500 0.500 0.500
0.000 0.000 0.500